No. 1
Computed, not measured: Zn4InAg at its PBEsol-relaxed geometry at the meta-GGA SCAN level of DFT.

Its raw total energy is -1.451 Ry/atom.

```
Zn4InAg
1.0
5.1462 0.0000 0.0000
2.5731 4.4567 0.0000
2.5731 1.4856 4.2019
Ag Zn In
1 4 1
Direct
0.7500 0.7500 0.7500 Ag
0.3758 0.3758 0.3758 Zn
0.8725 0.3758 0.3758 Zn
0.3758 0.3758 0.8725 Zn
0.3758 0.8725 0.3758 Zn
0.0000 0.0000 0.0000 In
```

=====

No. 2
Computed, not measured: TiSbTe2H at its PBEsol-relaxed geometry at the meta-GGA SCAN level of DFT.

Its raw total energy is -1.897 Ry/atom.

```
TiSbTe2H
1.0
5.2095 0.0000 0.0000
0.0000 5.2335 0.0000
0.0000 0.0000 5.2335
H Sb Te Ti
1 1 2 1
Direct
0.5000 0.5000 0.5000 H
0.5000 0.0000 0.0000 Sb
0.0000 0.0000 0.5000 Te
0.0000 0.5000 0.0000 Te
0.0000 0.0000 0.0000 Ti
```

=====

No. 3
Computed, not measured: TaSbNF2 at its PBEsol-relaxed geometry at the meta-GGA SCAN level of DFT.

For the uncorrected formation energy, the calculation gives 0.3972 eV per atom.

```
TaSbNF2
1.0
4.1870 0.0000 0.0000
0.0000 4.1870 0.0000
0.0000 0.0000 4.5804
Ta N F Sb
1 1 2 1
Direct
0.5000 0.5000 0.5000 Ta
0.0000 0.0000 0.5000 N
0.5000 0.0000 0.0000 F
0.0000 0.5000 0.0000 F
0.0000 0.0000 0.0000 Sb
```

=====

No. 4
Computed, not measured: SeBrCl3 at its PBEsol-relaxed geometry at the meta-GGA SCAN level of DFT.

The value obtained for the energy above the most stable polymorph in this dataset is 0 meV per atom. For the uncorrected formation energy, the calculation gives 0.1284 eV per atom.

```
SeBrCl3
1.0
-3.8514 1.0081 2.9249
-0.1162 -4.7143 1.4717
3.0916 1.0786 3.6991
Se Cl Br
1 3 1
Direct
0.0000 0.0000 0.0000 Se
0.5000 0.0000 0.0000 Cl
0.0000 0.0000 0.5000 Cl
0.0000 0.5000 0.0000 Cl
0.5000 0.5000 0.5000 Br
```

=====

No. 5
Computed, not measured: CdH10S2N4O8 at its PBEsol-relaxed geometry at the meta-GGA SCAN level of DFT.

Its raw total energy is -0.570 Ry/atom.

```
CdH10S2N4O8
1.0
-1.5406 -2.9124 4.4702
-2.1284 -3.4202 -4.2120
6.7569 -2.3803 -1.3799
H O S N Cd
10 8 2 4 1
Direct
0.3066 0.5968 0.4169 H
0.9201 0.6894 0.2866 H
0.4476 0.8096 0.2936 H
0.7518 0.4302 0.8278 H
0.5524 0.1904 0.7064 H
0.1284 0.9187 0.3944 H
0.6934 0.4032 0.5831 H
0.8716 0.0813 0.6056 H
0.2482 0.5698 0.1722 H
0.0799 0.3106 0.7134 H
0.6084 0.7535 0.9018 O
0.6684 0.0500 0.3332 O
0.6976 0.4712 0.3596 O
0.3024 0.5288 0.6404 O
0.3916 0.2465 0.0982 O
0.8411 0.3005 0.1123 O
0.3316 0.9500 0.6668 O
0.1589 0.6995 0.8877 O
0.6466 0.2638 0.2245 S
0.3534 0.7362 0.7755 S
0.2822 0.6847 0.2890 N
0.0775 0.8099 0.2732 N
0.7178 0.3153 0.7110 N
0.9225 0.1901 0.7268 N
0.0000 0.0000 0.0000 Cd
```

=====

No. 6
Computed, not measured: Y2ScW at its PBEsol-relaxed geometry at the meta-GGA SCAN level of DFT.

The value obtained for the energy above the most stable polymorph in this dataset is 76 meV per atom.

```
Y2ScW
1.0
-1.6969 -2.1746 3.6638
3.9931 -2.1868 0.5514
0.2470 5.3683 0.4306
Y W Sc
2 1 1
Direct
0.7500 0.2500 0.5000 Y
0.0000 0.0000 0.0000 Y
0.2500 0.7500 0.5000 W
0.5000 0.5000 0.0000 Sc
```